1.
PBE BaNaLa2Ir, relaxed; volume = 206.1 Å³/cell; polymorph energy (0 for the lowest one) = 0 meV per atom; E_form = -0.235 eV/atom
1.0
5.6294 0.0000 0.0000
0.0000 5.6294 0.0000
0.0000 0.0000 6.5050
La Na Ba Ir
2 1 1 1
Direct
0.5000 0.0000 0.0000
0.0000 0.5000 0.0000
0.5000 0.5000 0.5000
0.0000 0.0000 0.5000
0.0000 0.0000 0.0000

---

2.
PBE BaLa2IrO8, relaxed; volume = 168.3 Å³/cell; E_tot = -7.1489 eV/atom
1.0
-0.4505 2.8777 -4.6304
-4.0294 -1.6780 -0.6532
-4.8854 4.4279 3.2266
Ba La O Ir
1 2 8 1
Direct
0.0000 0.0000 0.5000
0.5000 0.6370 0.1992
0.5000 0.3630 0.8008
0.9997 0.3531 0.7560
0.2656 0.8207 0.8870
0.0003 0.6469 0.2440
0.7335 0.8215 0.8874
0.7344 0.1793 0.1130
0.4999 0.1679 0.5001
0.2665 0.1785 0.1126
0.5001 0.8321 0.4999
0.0000 0.0000 0.0000

---

3.
PBE BaLaIrO6, relaxed; volume = 162.0 Å³/cell; E_tot = -6.9169 eV/atom
1.0
5.8208 0.0006 0.0001
2.9110 5.0406 -0.0001
0.0002 -0.0004 5.5234
O Ir La Ba
6 1 1 1
Direct
0.3414 0.0565 0.6989
0.0565 0.3414 0.3011
0.6023 0.0563 0.3012
0.6019 0.3416 0.6989
0.3416 0.6020 0.3010
0.0563 0.6023 0.6988
0.3333 0.3333 0.5000
0.6666 0.6666 0.5000
0.9999 0.0000 0.0000

---

4.
PBE BaLaIr2O8, relaxed; volume = 245.5 Å³/cell; E_tot = -6.7228 eV/atom
1.0
5.9972 0.0000 0.0000
-2.9986 5.1938 0.0000
0.0000 0.0000 7.8823
Ir O La Ba
2 8 1 1
Direct
0.3333 0.6667 0.7904
0.6667 0.3333 0.2096
0.8367 0.1664 0.2899
0.6704 0.8367 0.7101
0.8336 0.6704 0.2899
0.1633 0.8336 0.7101
0.3296 0.1633 0.2899
0.1664 0.3296 0.7101
0.3333 0.6667 0.0208
0.6667 0.3333 0.9792
0.0000 0.0000 0.5000
0.0000 0.0000 0.0000